A relaxed structure of ErNbSe. Source: the Alexandria database, functional GGA-PBE.

symmetry = I4/mmm, No. 139
total magnetic moment = 0.00 μB per cell
calculated density = 9340 kg/m³
energy = -82.20 eV/cell

a = 4.0247 Å, b = 4.0247 Å, c = 14.8885 Å
α = 90.00°, β = 90.00°, γ = 90.00°
With the nearest neighbours (Å) after each atom.
Atoms (fractional coordinates):
Er 0.0000 0.0000 0.1691  5 Se 2.89-2.94, 4 Nb 3.22
Er 0.0000 0.0000 0.8309  5 Se 2.89-2.94, 4 Nb 3.22
Er 0.5000 0.5000 0.3309  5 Se 2.89-2.94, 4 Nb 3.22
Er 0.5000 0.5000 0.6691  5 Se 2.89-2.94, 4 Nb 3.22
Nb 0.0000 0.5000 0.0000  4 Se 2.83, 4 Nb 2.85
Nb 0.0000 0.5000 0.5000  4 Se 2.83, 4 Nb 2.85
Nb 0.5000 0.0000 0.0000  4 Se 2.83, 4 Nb 2.85
Nb 0.5000 0.0000 0.5000  4 Se 2.83, 4 Nb 2.85
Se 0.0000 0.0000 0.3662  4 Nb 2.83, 5 Er 2.89-2.94
Se 0.0000 0.0000 0.6338  4 Nb 2.83, 5 Er 2.89-2.94
Se 0.5000 0.5000 0.1338  4 Nb 2.83, 5 Er 2.89-2.94
Se 0.5000 0.5000 0.8662  4 Nb 2.83, 5 Er 2.89-2.94

A relaxed structure of Er2NbSe4. Source: the Alexandria database, functional GGA-PBE.

symmetry = C2/m, No. 12
total magnetic moment = 2.32 μB per cell
calculated density = 7069 kg/m³
energy = -85.47 eV/cell

a = 14.2981 Å, b = 3.9335 Å, c = 7.1371 Å
α = 90.00°, β = 119.55°, γ = 90.00°
With the nearest neighbours (Å) after each atom.
Atoms (fractional coordinates):
Er 0.2389 0.0000 0.2243  6 Se 2.79-2.91
Er 0.2611 0.5000 0.7757  6 Se 2.79-2.91
Er 0.7389 0.5000 0.2243  6 Se 2.79-2.91
Er 0.7611 0.0000 0.7757  6 Se 2.79-2.91
Nb 0.0000 0.5000 0.5000  6 Se 2.67-2.74
Nb 0.5000 0.0000 0.5000  6 Se 2.67-2.74
Se 0.1128 0.5000 0.9299  1 Nb 2.67, 3 Er 2.79-2.83
Se 0.1236 0.0000 0.4654  2 Nb 2.74, 3 Er 2.89-2.91
Se 0.3764 0.5000 0.5346  2 Nb 2.74, 3 Er 2.89-2.91
Se 0.3872 0.0000 0.0701  1 Nb 2.67, 3 Er 2.79-2.83
Se 0.6128 0.0000 0.9299  1 Nb 2.67, 3 Er 2.79-2.83
Se 0.6236 0.5000 0.4654  2 Nb 2.74, 3 Er 2.89-2.91
Se 0.8764 0.0000 0.5346  2 Nb 2.74, 3 Er 2.89-2.91
Se 0.8872 0.5000 0.0701  1 Nb 2.67, 3 Er 2.79-2.83

A relaxed structure of Er3NbSe6. Source: the Alexandria database, functional GGA-PBE.

symmetry = Cmc2_1, No. 36
total magnetic moment = 3.97 μB per cell
calculated density = 6942 kg/m³
energy = -117.36 eV/cell

a = 8.7500 Å, b = 8.7500 Å, c = 6.8069 Å
α = 90.00°, β = 90.00°, γ = 101.24°
With the nearest neighbours (Å) after each atom.
Atoms (fractional coordinates):
Er 0.0998 0.9002 0.5000  7 Se 2.87-2.97
Er 0.2113 0.4200 0.3906  7 Se 2.82-3.12
Er 0.4200 0.2113 0.8906  7 Se 2.82-3.12
Er 0.5800 0.7887 0.3906  7 Se 2.82-3.12
Er 0.7887 0.5800 0.8906  7 Se 2.82-3.12
Er 0.9002 0.0998 0.0000  7 Se 2.87-2.97
Nb 0.3401 0.6599 0.8706  5 Se 2.54-2.77
Nb 0.6599 0.3401 0.3706  5 Se 2.54-2.77
Se 0.0801 0.5929 0.6933  1 Nb 2.54
Se 0.1326 0.1952 0.6974  4 Er 2.82-2.90
Se 0.1952 0.1326 0.1974  4 Er 2.82-2.90
Se 0.2671 0.7329 0.2242  1 Nb 2.60
Se 0.4071 0.9199 0.6933  1 Nb 2.54
Se 0.4974 0.5026 0.6186  2 Nb 2.73-2.77, 2 Er 2.91
Se 0.5026 0.4974 0.1186  2 Nb 2.73-2.77, 2 Er 2.91
Se 0.5929 0.0801 0.1933  1 Nb 2.54
Se 0.7329 0.2671 0.7242  1 Nb 2.60
Se 0.8048 0.8674 0.6974  4 Er 2.82-2.90
Se 0.8674 0.8048 0.1974  4 Er 2.82-2.90
Se 0.9199 0.4071 0.1933  1 Nb 2.54